*A*
# RbNbHg

A relaxed structure of RbNbHg (PBE-GGA, Alexandria).

Calculated values
ρ	6.735	g/cm³
D(E_F)	7.4	states/eV/cell
total moment	0.00	μB/cell
space-group type	Cmcm, No. 63

a = 7.491 Å, b = 7.491 Å, c = 5.168 Å
α = 90.00°, β = 90.00°, γ = 139.88°
Fractional coordinates of all 6 atoms:
Rb (0.219, 0.781, 0.750)
Rb (0.781, 0.219, 0.250)
Nb (0.500, 0.500, 0.000)
Nb (0.500, 0.500, 0.500)
Hg (0.054, 0.946, 0.250)
Hg (0.946, 0.054, 0.750)

*B*
# RbNbHg

A relaxed structure of RbNbHg (PBE-GGA, Alexandria).

Calculated values
ρ	5.622	g/cm³
D(E_F)	3.7	states/eV/cell
total moment	2.78	μB/cell
space-group type	P4/nmm, No. 129

a = 5.377 Å, b = 5.377 Å, c = 7.743 Å
α = 90.00°, β = 90.00°, γ = 90.00°
Fractional coordinates of all 6 atoms:
Rb (0.250, 0.250, 0.135)
Rb (0.750, 0.750, 0.865)
Nb (0.250, 0.250, 0.586)
Nb (0.750, 0.750, 0.414)
Hg (0.250, 0.750, 0.500)
Hg (0.750, 0.250, 0.500)

*C*
# RbNbHg

A relaxed structure of RbNbHg (PBE-GGA, Alexandria).

Calculated values
ρ	3.472	g/cm³
D(E_F)	11.3	states/eV/cell
total moment	9.90	μB/cell
space-group type	P6_3/mmc, No. 194

a = 6.082 Å, b = 6.082 Å, c = 11.315 Å
α = 90.00°, β = 90.00°, γ = 120.00°
Fractional coordinates of all 6 atoms:
Rb (0.333, 0.667, 0.250)
Rb (0.667, 0.333, 0.750)
Nb (0.000, 0.000, 0.000)
Nb (0.000, 0.000, 0.500)
Hg (0.000, 0.000, 0.250)
Hg (0.000, 0.000, 0.750)

*D*
# RbNbHg

A relaxed structure of RbNbHg (PBE-GGA, Alexandria).

Calculated values
ρ	6.336	g/cm³
D(E_F)	7.5	states/eV/cell
total moment	0.00	μB/cell
space-group type	Pnma, No. 62

a = 13.898 Å, b = 5.343 Å, c = 5.350 Å
α = 90.00°, β = 90.00°, γ = 90.00°
Fractional coordinates of all 12 atoms:
Rb (0.236, 0.250, 0.010)
Rb (0.264, 0.750, 0.510)
Rb (0.736, 0.250, 0.490)
Rb (0.764, 0.750, 0.990)
Nb (0.003, 0.250, 0.500)
Nb (0.497, 0.750, 0.000)
Nb (0.503, 0.250, 0.000)
Nb (0.997, 0.750, 0.500)
Hg (0.000, 0.000, 0.000)
Hg (0.000, 0.500, 0.000)
Hg (0.500, 0.000, 0.500)
Hg (0.500, 0.500, 0.500)

Most stable pick: *A*. Distance to second place: 11.5 kJ/mol of atoms.

*A*
# RbNbHg2

A relaxed structure of RbNbHg2 (PBE-GGA, Alexandria).

Calculated values
ρ	5.742	g/cm³
D(E_F)	13.6	states/eV/cell
total moment	7.23	μB/cell
space-group type	I-42d, No. 122

a = 10.510 Å, b = 10.510 Å, c = 10.510 Å
α = 147.43°, β = 147.43°, γ = 46.72°
Fractional coordinates of all 8 atoms:
Rb (0.000, 0.000, 0.000)
Rb (0.750, 0.250, 0.500)
Nb (0.250, 0.750, 0.500)
Nb (0.500, 0.500, 0.000)
Hg (0.314, 0.625, 0.189)
Hg (0.375, 0.564, 0.689)
Hg (0.436, 0.125, 0.811)
Hg (0.875, 0.686, 0.311)

*B*
# RbNbHg2

A relaxed structure of RbNbHg2 (PBE-GGA, Alexandria).

Calculated values
ρ	8.511	g/cm³
D(E_F)	2.9	states/eV/cell
total moment	3.58	μB/cell
space-group type	Fm-3m, No. 225

a = 5.428 Å, b = 5.428 Å, c = 5.428 Å
α = 60.00°, β = 60.00°, γ = 60.00°
Fractional coordinates of all 4 atoms:
Rb (0.000, 0.000, 0.000)
Nb (0.500, 0.500, 0.500)
Hg (0.250, 0.250, 0.250)
Hg (0.750, 0.750, 0.750)

Most stable pick: *A*. Distance to second place: 1.0 kJ/mol of atoms.

*A*
# NbRe3Hg

A relaxed structure of NbRe3Hg (PBE-GGA, Alexandria).

Calculated values
ρ	12.837	g/cm³
D(E_F)	5.7	states/eV/cell
total moment	2.64	μB/cell
space-group type	Pm-3m, No. 221

a = 4.795 Å, b = 4.795 Å, c = 4.795 Å
α = 90.00°, β = 90.00°, γ = 90.00°
Fractional coordinates of all 5 atoms:
Nb (0.000, 0.000, 0.000)
Re (0.000, 0.000, 0.500)
Re (0.000, 0.500, 0.000)
Re (0.500, 0.000, 0.000)
Hg (0.500, 0.500, 0.500)

*B*
# NbRe3Hg

A relaxed structure of NbRe3Hg (PBE-GGA, Alexandria).

Calculated values
ρ	12.784	g/cm³
D(E_F)	9.6	states/eV/cell
total moment	0.00	μB/cell
space-group type	Pm-3m, No. 221

a = 4.801 Å, b = 4.801 Å, c = 4.801 Å
α = 90.00°, β = 90.00°, γ = 90.00°
Fractional coordinates of all 5 atoms:
Nb (0.000, 0.000, 0.000)
Re (0.000, 0.500, 0.500)
Re (0.500, 0.000, 0.500)
Re (0.500, 0.500, 0.000)
Hg (0.500, 0.500, 0.500)

Most stable pick: *A*. Distance to second place: 73.4 kJ/mol of atoms.

*A*
# Nb2Re2Hg

A relaxed structure of Nb2Re2Hg (PBE-GGA, Alexandria).

Calculated values
ρ	12.385	g/cm³
D(E_F)	6.1	states/eV/cell
total moment	0.00	μB/cell
space-group type	I4/mmm, No. 139

a = 6.202 Å, b = 6.202 Å, c = 6.202 Å
α = 138.98°, β = 138.98°, γ = 59.40°
Fractional coordinates of all 5 atoms:
Nb (0.250, 0.750, 0.500)
Nb (0.750, 0.250, 0.500)
Re (0.116, 0.116, 0.000)
Re (0.884, 0.884, 0.000)
Hg (0.500, 0.500, 0.000)

*B*
# Nb2Re2Hg

A relaxed structure of Nb2Re2Hg (PBE-GGA, Alexandria).

Calculated values
ρ	13.873	g/cm³
D(E_F)	7.6	states/eV/cell
total moment	0.00	μB/cell
space-group type	P4/mbm, No. 127

a = 7.652 Å, b = 7.652 Å, c = 3.102 Å
α = 90.00°, β = 90.00°, γ = 90.00°
Fractional coordinates of all 10 atoms:
Nb (0.154, 0.346, 0.000)
Nb (0.346, 0.846, 0.000)
Nb (0.654, 0.154, 0.000)
Nb (0.846, 0.654, 0.000)
Re (0.140, 0.640, 0.500)
Re (0.360, 0.140, 0.500)
Re (0.640, 0.860, 0.500)
Re (0.860, 0.360, 0.500)
Hg (0.000, 0.000, 0.500)
Hg (0.500, 0.500, 0.500)

Most stable pick: *B*. Distance to second place: 21.9 kJ/mol of atoms.